ScCu6Pd12 after structural relaxation. Source: the Alexandria database, functional PBE.

Magnetic moment   0.0 Bohr magnetons per cell
ΔE_f   -0.647 eV/f.u.

a b c (Å): 6.8445 6.8445 6.8445
angles (deg): 102.60 102.60 102.60
With the nearest neighbours (Å) after each atom.
Fractional coordinates of all 19 atoms:
Sc  0.0000  0.0000  0.0000  6 Cu 2.76, 6 Pd 2.77
Cu  0.1719  0.1719  0.4239  2 Cu 2.69, 7 Pd 2.70-2.80, 1 Sc 2.76
Cu  0.1719  0.4239  0.1719  2 Cu 2.69, 7 Pd 2.70-2.80, 1 Sc 2.76
Cu  0.4239  0.1719  0.1719  2 Cu 2.69, 7 Pd 2.70-2.80, 1 Sc 2.76
Cu  0.5761  0.8281  0.8281  2 Cu 2.69, 7 Pd 2.70-2.80, 1 Sc 2.76
Cu  0.8281  0.5761  0.8281  2 Cu 2.69, 7 Pd 2.70-2.80, 1 Sc 2.76
Cu  0.8281  0.8281  0.5761  2 Cu 2.69, 7 Pd 2.70-2.80, 1 Sc 2.76
Pd  0.0000  0.2592  0.7408  4 Cu 2.70-2.80, 6 Pd 2.74-2.86, 1 Sc 2.77
Pd  0.0000  0.7408  0.2592  4 Cu 2.70-2.80, 6 Pd 2.74-2.86, 1 Sc 2.77
Pd  0.1914  0.5800  0.5800  5 Pd 2.50-2.74, 3 Cu 2.73-2.75
Pd  0.2592  0.0000  0.7408  4 Cu 2.70-2.80, 6 Pd 2.74-2.86, 1 Sc 2.77
Pd  0.2592  0.7408  0.0000  4 Cu 2.70-2.80, 6 Pd 2.74-2.86, 1 Sc 2.77
Pd  0.4200  0.4200  0.8086  5 Pd 2.50-2.74, 3 Cu 2.73-2.75
Pd  0.4200  0.8086  0.4200  5 Pd 2.50-2.74, 3 Cu 2.73-2.75
Pd  0.5800  0.1914  0.5800  5 Pd 2.50-2.74, 3 Cu 2.73-2.75
Pd  0.5800  0.5800  0.1914  5 Pd 2.50-2.74, 3 Cu 2.73-2.75
Pd  0.7408  0.0000  0.2592  4 Cu 2.70-2.80, 6 Pd 2.74-2.86, 1 Sc 2.77
Pd  0.7408  0.2592  0.0000  4 Cu 2.70-2.80, 6 Pd 2.74-2.86, 1 Sc 2.77
Pd  0.8086  0.4200  0.4200  5 Pd 2.50-2.74, 3 Cu 2.73-2.75



Sc11Cu4Pd9 after structural relaxation. Source: the Alexandria database, functional PBE.

Magnetic moment   0.0 Bohr magnetons per cell
ΔE_f   -16.217 eV/f.u.

a b c (Å): 11.6405 11.6405 3.3850
angles (deg): 90.00 90.00 112.09
With the nearest neighbours (Å) after each atom.
Fractional coordinates of all 24 atoms:
Sc  0.0000  0.0000  0.0000  8 Pd 2.83
Sc  0.0691  0.4104  0.0000  2 Cu 2.66, 6 Pd 2.83-2.94
Sc  0.1742  0.8258  0.0000  8 Pd 2.83-2.93, 2 Sc 3.12
Sc  0.2672  0.2672  0.0000  4 Cu 2.68, 4 Pd 2.98
Sc  0.3666  0.6334  0.0000  4 Cu 2.72, 4 Pd 3.02
Sc  0.4104  0.0691  0.0000  2 Cu 2.66, 6 Pd 2.83-2.94
Sc  0.5896  0.9309  0.0000  2 Cu 2.66, 6 Pd 2.83-2.94
Sc  0.6334  0.3666  0.0000  4 Cu 2.72, 4 Pd 3.02
Sc  0.7328  0.7328  0.0000  4 Cu 2.68, 4 Pd 2.98
Sc  0.8258  0.1742  0.0000  8 Pd 2.83-2.93, 2 Sc 3.12
Sc  0.9309  0.5896  0.0000  2 Cu 2.66, 6 Pd 2.83-2.94
Cu  0.2541  0.4405  0.5000  6 Sc 2.66-2.72, 3 Pd 2.68-2.91
Cu  0.4405  0.2541  0.5000  6 Sc 2.66-2.72, 3 Pd 2.68-2.91
Cu  0.5595  0.7459  0.5000  6 Sc 2.66-2.72, 3 Pd 2.68-2.91
Cu  0.7459  0.5595  0.5000  6 Sc 2.66-2.72, 3 Pd 2.68-2.91
Pd  0.0412  0.2064  0.5000  8 Sc 2.83-2.98, 1 Cu 2.91
Pd  0.1472  0.6219  0.5000  1 Cu 2.83, 8 Sc 2.83-3.02, 1 Pd 3.00
Pd  0.2064  0.0412  0.5000  8 Sc 2.83-2.98, 1 Cu 2.91
Pd  0.3781  0.8528  0.5000  1 Cu 2.83, 8 Sc 2.83-3.02, 1 Pd 3.00
Pd  0.5000  0.5000  0.5000  4 Cu 2.68
Pd  0.6219  0.1472  0.5000  1 Cu 2.83, 8 Sc 2.83-3.02, 1 Pd 3.00
Pd  0.7936  0.9588  0.5000  8 Sc 2.83-2.98, 1 Cu 2.91
Pd  0.8528  0.3781  0.5000  1 Cu 2.83, 8 Sc 2.83-3.02, 1 Pd 3.00
Pd  0.9588  0.7936  0.5000  8 Sc 2.83-2.98, 1 Cu 2.91



ScCu2Pd4 after structural relaxation. Source: the Alexandria database, functional PBE.

Magnetic moment   0.0 Bohr magnetons per cell
ΔE_f   -2.091 eV/f.u.

a b c (Å): 5.2819 5.2819 5.2819
angles (deg): 107.87 107.87 112.72
With the nearest neighbours (Å) after each atom.
Fractional coordinates of all 7 atoms:
Sc  0.0000  0.0000  0.0000  8 Pd 2.64
Cu  0.0000  0.5000  0.5000  8 Pd 2.64, 2 Cu 2.93
Cu  0.5000  0.0000  0.5000  8 Pd 2.64, 2 Cu 2.93
Pd  0.0000  0.0000  0.5000  4 Cu 2.64, 2 Sc 2.64, 2 Pd 2.93
Pd  0.0000  0.5000  0.0000  4 Cu 2.64, 2 Sc 2.64, 2 Pd 2.93
Pd  0.5000  0.0000  0.0000  4 Cu 2.64, 2 Sc 2.64, 2 Pd 2.93
Pd  0.5000  0.5000  0.5000  4 Cu 2.64, 2 Sc 2.64, 2 Pd 2.93



ScCu6Pd12 after structural relaxation. Source: the Alexandria database, functional PBE.

Magnetic moment   0.0 Bohr magnetons per cell
ΔE_f   -4.339 eV/f.u.

a b c (Å): 7.2585 7.2585 7.2585
angles (deg): 110.85 110.85 110.85
With the nearest neighbours (Å) after each atom.
Fractional coordinates of all 19 atoms:
Sc  0.0000  0.0000  0.0000  12 Pd 2.79
Cu  0.0470  0.3610  0.5726  9 Pd 2.69-2.79, 3 Cu 2.75-2.76
Cu  0.3610  0.5726  0.0470  9 Pd 2.69-2.79, 3 Cu 2.75-2.76
Cu  0.4274  0.9530  0.6390  9 Pd 2.69-2.79, 3 Cu 2.75-2.76
Cu  0.5726  0.0470  0.3610  9 Pd 2.69-2.79, 3 Cu 2.75-2.76
Cu  0.6390  0.4274  0.9530  9 Pd 2.69-2.79, 3 Cu 2.75-2.76
Cu  0.9530  0.6390  0.4274  9 Pd 2.69-2.79, 3 Cu 2.75-2.76
Pd  0.1108  0.7370  0.1656  6 Pd 2.69-2.83, 5 Cu 2.70-2.74, 1 Sc 2.79
Pd  0.1656  0.1108  0.7370  6 Pd 2.69-2.83, 5 Cu 2.70-2.74, 1 Sc 2.79
Pd  0.2078  0.4775  0.3233  4 Cu 2.69-2.79, 7 Pd 2.69-2.83, 1 Sc 2.79
Pd  0.2630  0.8344  0.8892  6 Pd 2.69-2.83, 5 Cu 2.70-2.74, 1 Sc 2.79
Pd  0.3233  0.2078  0.4775  4 Cu 2.69-2.79, 7 Pd 2.69-2.83, 1 Sc 2.79
Pd  0.4775  0.3233  0.2078  4 Cu 2.69-2.79, 7 Pd 2.69-2.83, 1 Sc 2.79
Pd  0.5225  0.6767  0.7922  4 Cu 2.69-2.79, 7 Pd 2.69-2.83, 1 Sc 2.79
Pd  0.6767  0.7922  0.5225  4 Cu 2.69-2.79, 7 Pd 2.69-2.83, 1 Sc 2.79
Pd  0.7370  0.1656  0.1108  6 Pd 2.69-2.83, 5 Cu 2.70-2.74, 1 Sc 2.79
Pd  0.7922  0.5225  0.6767  4 Cu 2.69-2.79, 7 Pd 2.69-2.83, 1 Sc 2.79
Pd  0.8344  0.8892  0.2630  6 Pd 2.69-2.83, 5 Cu 2.70-2.74, 1 Sc 2.79
Pd  0.8892  0.2630  0.8344  6 Pd 2.69-2.83, 5 Cu 2.70-2.74, 1 Sc 2.79



Sc3Cu2Pd4 after structural relaxation. Source: the Alexandria database, functional PBE.

Magnetic moment   0.0 Bohr magnetons per cell
ΔE_f   -6.084 eV/f.u.

a b c (Å): 8.0695 8.0695 4.8821
angles (deg): 98.01 98.01 70.79
With the nearest neighbours (Å) after each atom.
Fractional coordinates of all 18 atoms:
Sc  0.1277  0.8723  0.7500  4 Pd 2.71-2.75, 6 Cu 2.74-2.82
Sc  0.2073  0.4560  0.9151  8 Pd 2.75-2.95, 2 Cu 2.78-2.90
Sc  0.4560  0.2073  0.4151  8 Pd 2.75-2.95, 2 Cu 2.78-2.90
Sc  0.5440  0.7927  0.5849  8 Pd 2.75-2.95, 2 Cu 2.78-2.90
Sc  0.7927  0.5440  0.0849  8 Pd 2.75-2.95, 2 Cu 2.78-2.90
Sc  0.8723  0.1277  0.2500  4 Pd 2.71-2.75, 6 Cu 2.74-2.82
Cu  0.0165  0.7679  0.2016  4 Pd 2.66-2.84, 5 Sc 2.74-2.90, 1 Cu 2.79
Cu  0.2321  0.9835  0.2984  4 Pd 2.66-2.84, 5 Sc 2.74-2.90, 1 Cu 2.79
Cu  0.7679  0.0165  0.7016  4 Pd 2.66-2.84, 5 Sc 2.74-2.90, 1 Cu 2.79
Cu  0.9835  0.2321  0.7984  4 Pd 2.66-2.84, 5 Sc 2.74-2.90, 1 Cu 2.79
Pd  0.0922  0.3324  0.3573  3 Cu 2.66-2.84, 5 Sc 2.75-2.90, 2 Pd 2.89-2.96
Pd  0.3124  0.5695  0.4653  1 Cu 2.67, 5 Sc 2.71-2.95, 4 Pd 2.82-2.96
Pd  0.3324  0.0922  0.8573  3 Cu 2.66-2.84, 5 Sc 2.75-2.90, 2 Pd 2.89-2.96
Pd  0.4305  0.6876  0.0347  1 Cu 2.67, 5 Sc 2.71-2.95, 4 Pd 2.82-2.96
Pd  0.5695  0.3124  0.9653  1 Cu 2.67, 5 Sc 2.71-2.95, 4 Pd 2.82-2.96
Pd  0.6676  0.9078  0.1427  3 Cu 2.66-2.84, 5 Sc 2.75-2.90, 2 Pd 2.89-2.96
Pd  0.6876  0.4305  0.5347  1 Cu 2.67, 5 Sc 2.71-2.95, 4 Pd 2.82-2.96
Pd  0.9078  0.6676  0.6427  3 Cu 2.66-2.84, 5 Sc 2.75-2.90, 2 Pd 2.89-2.96



Sc3CuPd3 after structural relaxation. Source: the Alexandria database, functional PBE.

Magnetic moment   0.0 Bohr magnetons per cell
ΔE_f   -4.000 eV/f.u.

a b c (Å): 6.6384 6.6384 5.8684
angles (deg): 90.83 90.83 87.08
With the nearest neighbours (Å) after each atom.
Fractional coordinates of all 14 atoms:
Sc  0.0426  0.4224  0.7508  3 Pd 2.67-2.74, 1 Cu 2.72
Sc  0.0953  0.0953  0.2518  5 Pd 2.77-2.84, 1 Cu 2.89
Sc  0.4224  0.0426  0.7508  3 Pd 2.67-2.74, 1 Cu 2.72
Sc  0.5776  0.9574  0.2492  3 Pd 2.67-2.74, 1 Cu 2.72
Sc  0.9047  0.9047  0.7482  5 Pd 2.77-2.84, 1 Cu 2.89
Sc  0.9574  0.5776  0.2492  3 Pd 2.67-2.74, 1 Cu 2.72
Cu  0.3660  0.3660  0.4748  3 Pd 2.54-2.66, 1 Cu 2.59, 2 Sc 2.72
Cu  0.6340  0.6340  0.5252  3 Pd 2.54-2.66, 1 Cu 2.59, 2 Sc 2.72
Pd  0.2395  0.7605  0.0000  6 Sc 2.74-3.01, 4 Pd 2.80-2.93
Pd  0.2455  0.7545  0.5000  2 Cu 2.66, 4 Sc 2.70-2.84, 2 Pd 2.93
Pd  0.3503  0.3503  0.0423  1 Cu 2.54, 3 Sc 2.67-2.77, 2 Pd 2.80
Pd  0.6497  0.6497  0.9577  1 Cu 2.54, 3 Sc 2.67-2.77, 2 Pd 2.80
Pd  0.7545  0.2455  0.5000  2 Cu 2.66, 4 Sc 2.70-2.84, 2 Pd 2.93
Pd  0.7605  0.2395  0.0000  6 Sc 2.74-3.01, 4 Pd 2.80-2.93



Sc4CuPd3 after structural relaxation. Source: the Alexandria database, functional PBE.

Magnetic moment   0.0 Bohr magnetons per cell
ΔE_f   -5.962 eV/f.u.

a b c (Å): 3.2595 3.2595 13.5517
angles (deg): 90.00 90.00 90.00
With the nearest neighbours (Å) after each atom.
Fractional coordinates of all 8 atoms:
Sc  0.0000  0.0000  0.1211  4 Cu 2.83, 4 Pd 2.87
Sc  0.0000  0.0000  0.3738  8 Pd 2.87
Sc  0.0000  0.0000  0.6262  8 Pd 2.87
Sc  0.0000  0.0000  0.8789  4 Cu 2.83, 4 Pd 2.87
Cu  0.5000  0.5000  0.0000  8 Sc 2.83
Pd  0.5000  0.5000  0.2476  8 Sc 2.87
Pd  0.5000  0.5000  0.5000  8 Sc 2.87
Pd  0.5000  0.5000  0.7524  8 Sc 2.87



ScCu4Pd15 after structural relaxation. Source: the Alexandria database, functional PBE.

Magnetic moment   0.0 Bohr magnetons per cell
ΔE_f   -4.336 eV/f.u.

a b c (Å): 3.9105 3.9105 19.5826
angles (deg): 90.00 90.00 90.00
With the nearest neighbours (Å) after each atom.
Fractional coordinates of all 20 atoms:
Sc  0.0000  0.0000  0.0000  12 Pd 2.77-2.84
Cu  0.0000  0.0000  0.2052  12 Pd 2.74-2.77
Cu  0.0000  0.0000  0.4012  12 Pd 2.74-2.77
Cu  0.0000  0.0000  0.5988  12 Pd 2.74-2.77
Cu  0.0000  0.0000  0.7948  12 Pd 2.74-2.77
Pd  0.0000  0.5000  0.1052  8 Pd 2.75-2.84, 2 Cu 2.77, 2 Sc 2.84
Pd  0.0000  0.5000  0.3034  4 Cu 2.74, 8 Pd 2.75-2.77
Pd  0.0000  0.5000  0.5000  8 Pd 2.74-2.77, 4 Cu 2.75
Pd  0.0000  0.5000  0.6966  4 Cu 2.74, 8 Pd 2.75-2.77
Pd  0.0000  0.5000  0.8948  8 Pd 2.75-2.84, 2 Cu 2.77, 2 Sc 2.84
Pd  0.5000  0.0000  0.1052  8 Pd 2.75-2.84, 2 Cu 2.77, 2 Sc 2.84
Pd  0.5000  0.0000  0.3034  4 Cu 2.74, 8 Pd 2.75-2.77
Pd  0.5000  0.0000  0.5000  8 Pd 2.74-2.77, 4 Cu 2.75
Pd  0.5000  0.0000  0.6966  4 Cu 2.74, 8 Pd 2.75-2.77
Pd  0.5000  0.0000  0.8948  8 Pd 2.75-2.84, 2 Cu 2.77, 2 Sc 2.84
Pd  0.5000  0.5000  0.0000  4 Sc 2.77, 8 Pd 2.84
Pd  0.5000  0.5000  0.2042  8 Pd 2.75-2.76, 4 Cu 2.77
Pd  0.5000  0.5000  0.4019  8 Pd 2.74-2.75, 4 Cu 2.77
Pd  0.5000  0.5000  0.5981  8 Pd 2.74-2.75, 4 Cu 2.77
Pd  0.5000  0.5000  0.7958  8 Pd 2.75-2.76, 4 Cu 2.77



Sc4Cu2Pd3 after structural relaxation. Source: the Alexandria database, functional PBE.

Magnetic moment   0.0 Bohr magnetons per cell
ΔE_f   -5.187 eV/f.u.

a b c (Å): 4.8049 4.8049 8.4273
angles (deg): 95.83 95.83 54.54
With the nearest neighbours (Å) after each atom.
Fractional coordinates of all 9 atoms:
Sc  0.0362  0.0362  0.3336  4 Pd 2.66-2.95, 3 Cu 2.80-2.86, 1 Sc 2.94
Sc  0.3443  0.3443  0.1092  4 Pd 2.77-2.98, 3 Cu 2.78-2.90
Sc  0.6557  0.6557  0.8908  4 Pd 2.77-2.98, 3 Cu 2.78-2.90
Sc  0.9638  0.9638  0.6664  4 Pd 2.66-2.95, 3 Cu 2.80-2.86, 1 Sc 2.94
Cu  0.2963  0.2963  0.7629  6 Sc 2.78-2.90, 3 Pd 2.81-2.94
Cu  0.7037  0.7037  0.2371  6 Sc 2.78-2.90, 3 Pd 2.81-2.94
Pd  0.0000  0.0000  0.0000  8 Sc 2.78-2.98
Pd  0.3422  0.3422  0.4380  4 Sc 2.66-2.95, 3 Pd 2.78-2.97, 3 Cu 2.81-2.94
Pd  0.6578  0.6578  0.5620  4 Sc 2.66-2.95, 3 Pd 2.78-2.97, 3 Cu 2.81-2.94



Sc5CuPd6 after structural relaxation. Source: the Alexandria database, functional PBE.

Magnetic moment   0.0 Bohr magnetons per cell
ΔE_f   -9.584 eV/f.u.

a b c (Å): 7.9680 7.9680 7.9680
angles (deg): 146.39 130.89 60.83
With the nearest neighbours (Å) after each atom.
Fractional coordinates of all 12 atoms:
Sc  0.0000  0.0000  0.0000  8 Pd 2.77-2.82
Sc  0.1718  0.6718  0.5000  8 Pd 2.77-2.82
Sc  0.3480  0.3480  0.0000  8 Pd 2.74-2.96
Sc  0.6520  0.6520  0.0000  8 Pd 2.74-2.96
Sc  0.8282  0.3282  0.5000  8 Pd 2.77-2.82
Cu  0.5000  0.0000  0.5000  8 Pd 2.86-2.91, 4 Sc 3.11
Pd  0.0773  0.8319  0.2454  7 Sc 2.77-2.96, 1 Cu 2.86
Pd  0.2326  0.5000  0.7326  6 Sc 2.74-2.82, 2 Cu 2.91
Pd  0.4136  0.1681  0.2454  7 Sc 2.77-2.96, 1 Cu 2.86
Pd  0.5864  0.8319  0.7546  7 Sc 2.77-2.96, 1 Cu 2.86
Pd  0.7674  0.5000  0.2674  6 Sc 2.74-2.82, 2 Cu 2.91
Pd  0.9227  0.1681  0.7546  7 Sc 2.77-2.96, 1 Cu 2.86



ScCuPd14 after structural relaxation. Source: the Alexandria database, functional PBE.

Magnetic moment   0.0 Bohr magnetons per cell
ΔE_f   -3.471 eV/f.u.

a b c (Å): 5.5916 5.5916 7.9170
angles (deg): 90.00 90.00 90.00
With the nearest neighbours (Å) after each atom.
Fractional coordinates of all 16 atoms:
Sc  0.0000  0.0000  0.0000  12 Pd 2.79-2.80
Cu  0.5000  0.5000  0.0000  12 Pd 2.77-2.80
Pd  0.0000  0.0000  0.5000  12 Pd 2.80-2.82
Pd  0.0000  0.5000  0.0000  8 Pd 2.78, 2 Sc 2.80, 2 Cu 2.80
Pd  0.0000  0.5000  0.5000  12 Pd 2.80-2.82
Pd  0.2514  0.2514  0.2465  1 Cu 2.77, 10 Pd 2.78-2.82, 1 Sc 2.79
Pd  0.2514  0.2514  0.7535  1 Cu 2.77, 10 Pd 2.78-2.82, 1 Sc 2.79
Pd  0.2514  0.7486  0.2465  1 Cu 2.77, 10 Pd 2.78-2.82, 1 Sc 2.79
Pd  0.2514  0.7486  0.7535  1 Cu 2.77, 10 Pd 2.78-2.82, 1 Sc 2.79
Pd  0.5000  0.0000  0.0000  8 Pd 2.78, 2 Sc 2.80, 2 Cu 2.80
Pd  0.5000  0.0000  0.5000  12 Pd 2.80-2.82
Pd  0.5000  0.5000  0.5000  12 Pd 2.80-2.81
Pd  0.7486  0.2514  0.2465  1 Cu 2.77, 10 Pd 2.78-2.82, 1 Sc 2.79
Pd  0.7486  0.2514  0.7535  1 Cu 2.77, 10 Pd 2.78-2.82, 1 Sc 2.79
Pd  0.7486  0.7486  0.2465  1 Cu 2.77, 10 Pd 2.78-2.82, 1 Sc 2.79
Pd  0.7486  0.7486  0.7535  1 Cu 2.77, 10 Pd 2.78-2.82, 1 Sc 2.79



ScCu2Pd4 after structural relaxation. Source: the Alexandria database, functional PBE.

Magnetic moment   0.0 Bohr magnetons per cell
ΔE_f   2.712 eV/f.u.

a b c (Å): 7.0014 7.0014 7.0014
angles (deg): 140.25 140.25 57.48
With the nearest neighbours (Å) after each atom.
Fractional coordinates of all 7 atoms:
Sc  0.0000  0.0000  0.0000  6 Pd 2.38-2.43
Cu  0.4012  0.4012  0.0000  1 Cu 2.43, 5 Pd 2.49-2.67
Cu  0.5988  0.5988  0.0000  1 Cu 2.43, 5 Pd 2.49-2.67
Pd  0.0000  0.5000  0.5000  2 Sc 2.38
Pd  0.1982  0.1982  0.0000  1 Sc 2.43, 1 Cu 2.49
Pd  0.5000  0.0000  0.5000  2 Sc 2.38
Pd  0.8018  0.8018  0.0000  1 Sc 2.43, 1 Cu 2.49